#i
Density functional theory data (PBE) for a geometry-optimized BaHf2Mg2 structure.

POSCAR file:
```
BaHf2Mg2
1.0
-2.688 -2.837 -8.401
8.780 -2.079 -2.107
-0.433 -2.997 1.151
Ba Hf Mg
2 4 4
Direct
0.000 0.000 0.000 Ba
0.500 0.500 0.000 Ba
0.386 0.114 0.500 Hf
0.886 0.386 0.500 Hf
0.614 0.886 0.500 Hf
0.114 0.614 0.500 Hf
0.672 0.172 0.000 Mg
0.828 0.672 0.000 Mg
0.172 0.328 0.000 Mg
0.328 0.828 0.000 Mg
```

Fermi-level density of states = 6.8 states/eV/f.u.
density = 6.48 g cm⁻³
SG = P4/mbm, No. 127

***

#ii
Density functional theory data (PBE) for a geometry-optimized BaHf2Mg2 structure.

POSCAR file:
```
BaHf2Mg2
1.0
4.188 0.000 0.000
0.000 4.188 0.000
2.094 2.094 8.565
Ba Mg Hf
1 2 2
Direct
0.000 0.000 0.000 Ba
0.616 0.616 0.768 Mg
0.384 0.384 0.232 Mg
0.250 0.750 0.500 Hf
0.750 0.250 0.500 Hf
```

Fermi-level density of states = 5.9 states/eV/f.u.
density = 6.00 g cm⁻³
SG = I4/mmm, No. 139

***

It is #i that is the least stable of them.

***

#i
Density functional theory data (PBE) for a geometry-optimized BaHf3Mn structure.

POSCAR file:
```
BaHf3Mn
1.0
-1.250 -2.458 4.407
-1.948 -3.953 -2.757
4.655 -2.314 0.029
Hf Ba Mn
3 1 1
Direct
0.000 0.500 0.000 Hf
0.500 0.000 0.000 Hf
0.000 0.000 0.500 Hf
0.000 0.000 0.000 Ba
0.500 0.500 0.500 Mn
```

Fermi-level density of states = 10.9 states/eV/f.u.
density = 8.60 g cm⁻³
SG = Pm-3m, No. 221

***

#ii
Density functional theory data (PBE) for a geometry-optimized BaHf3Mn structure.

POSCAR file:
```
BaHf3Mn
1.0
-0.089 -4.922 -1.013
2.434 -0.928 4.298
-4.396 -0.415 2.400
Hf Mn Ba
3 1 1
Direct
0.000 0.500 0.000 Hf
0.500 0.000 0.000 Hf
0.000 0.000 0.500 Hf
0.000 0.000 0.000 Mn
0.500 0.500 0.500 Ba
```

Fermi-level density of states = 4.2 states/eV/f.u.
density = 9.52 g cm⁻³
SG = Pm-3m, No. 221

***

It is #i that is the least stable of them.

***

#i
Density functional theory data (PBE) for a geometry-optimized BaHfMo3 structure.

POSCAR file:
```
BaHfMo3
1.0
5.055 0.000 0.000
0.000 5.055 0.000
0.000 0.000 5.055
Mo Hf Ba
3 1 1
Direct
0.500 0.000 0.000 Mo
0.000 0.000 0.500 Mo
0.000 0.500 0.000 Mo
0.000 0.000 0.000 Hf
0.500 0.500 0.500 Ba
```

Fermi-level density of states = 6.8 states/eV/f.u.
density = 7.76 g cm⁻³
SG = Pm-3m, No. 221

***

#ii
Density functional theory data (PBE) for a geometry-optimized BaHfMo3 structure.

POSCAR file:
```
BaHfMo3
1.0
-1.670 -4.604 -0.500
3.835 -1.077 -2.894
2.597 -1.371 3.952
Mo Hf Ba
3 1 1
Direct
0.500 0.000 0.000 Mo
0.000 0.500 0.000 Mo
0.000 0.000 0.500 Mo
0.500 0.500 0.500 Hf
0.000 0.000 0.000 Ba
```

Fermi-level density of states = 9.9 states/eV/f.u.
density = 8.40 g cm⁻³
SG = Pm-3m, No. 221

***

It is #ii that is the least stable of them.

***

#i
Density functional theory data (PBE) for a geometry-optimized BaHfMo2 structure.

POSCAR file:
```
BaHfMo2
1.0
0.000 3.497 3.497
3.497 0.000 3.497
3.497 3.497 0.000
Hf Mo Ba
1 2 1
Direct
0.500 0.500 0.500 Hf
0.750 0.750 0.750 Mo
0.250 0.250 0.250 Mo
0.000 0.000 0.000 Ba
```

Fermi-level density of states = 9.6 states/eV/f.u.
density = 9.85 g cm⁻³
SG = Fm-3m, No. 225

***

#ii
Density functional theory data (PBE) for a geometry-optimized BaHfMo2 structure.

POSCAR file:
```
BaHfMo2
1.0
4.994 0.000 0.000
0.000 4.994 0.000
2.497 2.497 9.537
Mo Ba Hf
4 2 2
Direct
0.846 0.625 0.250 Mo
0.904 0.125 0.250 Mo
0.875 0.154 0.750 Mo
0.375 0.096 0.750 Mo
0.500 0.500 0.000 Ba
0.250 0.750 0.500 Ba
0.000 0.000 0.000 Hf
0.750 0.250 0.500 Hf
```

Fermi-level density of states = 6.4 states/eV/f.u.
density = 7.09 g cm⁻³
SG = I-42d, No. 122

***

It is #ii that is the least stable of them.

***

#i
Density functional theory data (PBE) for a geometry-optimized BaHf2N2 structure.

POSCAR file:
```
BaHf2N2
1.0
-3.136 -5.102 3.740
2.962 -4.872 -4.163
2.464 -0.124 1.898
N Ba Hf
4 2 4
Direct
0.376 0.876 0.000 N
0.124 0.376 0.000 N
0.876 0.624 0.000 N
0.624 0.124 0.000 N
0.000 0.000 0.000 Ba
0.500 0.500 0.000 Ba
0.637 0.863 0.500 Hf
0.863 0.363 0.500 Hf
0.363 0.137 0.500 Hf
0.137 0.637 0.500 Hf
```

Fermi-level density of states = 1.7 states/eV/f.u.
density = 11.18 g cm⁻³
SG = P4/mbm, No. 127

***

#ii
Density functional theory data (PBE) for a geometry-optimized BaHf2N2 structure.

POSCAR file:
```
BaHf2N2
1.0
4.238 0.000 0.000
0.000 4.238 0.000
2.119 2.119 6.735
Ba Hf N
1 2 2
Direct
0.000 0.000 0.000 Ba
0.750 0.250 0.500 Hf
0.250 0.750 0.500 Hf
0.784 0.784 0.432 N
0.216 0.216 0.568 N
```

Fermi-level density of states = 2.2 states/eV/f.u.
density = 7.17 g cm⁻³
SG = I4/mmm, No. 139

***

It is #i that is the least stable of them.

***

#i
Density functional theory data (PBE) for a geometry-optimized BaHfS2N structure.

POSCAR file:
```
BaHfS2N
1.0
5.105 0.000 0.000
0.000 5.105 0.000
0.000 0.000 4.230
S N Ba Hf
2 1 1 1
Direct
0.000 0.500 0.000 S
0.500 0.000 0.000 S
0.000 0.000 0.500 N
0.500 0.500 0.500 Ba
0.000 0.000 0.000 Hf
```

Fermi-level density of states = 2.0 states/eV/f.u.
density = 5.93 g cm⁻³
SG = P4/mmm, No. 123

***

#ii
Density functional theory data (PBE) for a geometry-optimized BaHfS2N structure.

POSCAR file:
```
BaHfS2N
1.0
5.564 0.000 0.000
0.000 5.564 0.000
0.000 0.000 4.199
S Ba Hf N
2 1 1 1
Direct
0.000 0.500 0.000 S
0.500 0.000 0.000 S
0.000 0.000 0.000 Ba
0.500 0.500 0.500 Hf
0.000 0.000 0.500 N
```

Fermi-level density of states = 3.7 states/eV/f.u.
density = 5.03 g cm⁻³
SG = P4/mmm, No. 123

***

It is #ii that is the least stable of them.

***

#i
Density functional theory data (PBE) for a geometry-optimized BaHfSe2N structure.

POSCAR file:
```
BaHfSe2N
1.0
-0.236 -5.584 1.578
1.268 -1.591 -5.440
4.091 0.089 0.927
Se Ba N Hf
2 1 1 1
Direct
0.500 0.000 0.000 Se
0.000 0.500 0.000 Se
0.000 0.000 0.000 Ba
0.000 0.000 0.500 N
0.500 0.500 0.500 Hf
```

Fermi-level density of states = 5.7 states/eV/f.u.
density = 5.72 g cm⁻³
SG = P4/mmm, No. 123

***

#ii
Density functional theory data (PBE) for a geometry-optimized BaHfSe2N structure.

POSCAR file:
```
BaHfSe2N
1.0
5.385 0.000 0.000
0.000 5.385 0.000
0.000 0.000 4.205
Se Ba Hf N
2 1 1 1
Direct
0.000 0.500 0.000 Se
0.500 0.000 0.000 Se
0.500 0.500 0.500 Ba
0.000 0.000 0.000 Hf
0.000 0.000 0.500 N
```

Fermi-level density of states = 2.5 states/eV/f.u.
density = 6.64 g cm⁻³
SG = P4/mmm, No. 123

***

It is #i that is the least stable of them.

***

#i
Density functional theory data (PBE) for a geometry-optimized BaHfTeN2 structure.

POSCAR file:
```
BaHfTeN2
1.0
-0.064 -0.077 4.481
-2.570 -3.671 -0.100
4.699 -3.289 0.010
Hf Te Ba N
1 1 1 2
Direct
0.000 0.000 0.000 Hf
0.000 0.000 0.500 Te
0.500 0.500 0.500 Ba
0.500 0.000 0.000 N
0.000 0.500 0.000 N
```

Fermi-level density of states = 3.9 states/eV/f.u.
density = 6.79 g cm⁻³
SG = P4/mmm, No. 123

***

#ii
Density functional theory data (PBE) for a geometry-optimized BaHfTeN2 structure.

POSCAR file:
```
BaHfTeN2
1.0
-2.108 -3.243 -2.154
2.803 0.437 -3.399
3.949 -4.358 2.697
Hf Ba N Te
1 1 2 1
Direct
0.500 0.500 0.500 Hf
0.000 0.000 0.000 Ba
0.500 0.000 0.000 N
0.000 0.500 0.000 N
0.000 0.000 0.500 Te
```

Fermi-level density of states = 5.4 states/eV/f.u.
density = 6.17 g cm⁻³
SG = P4/mmm, No. 123

***

It is #ii that is the least stable of them.

***

#i
Density functional theory data (PBE) for a geometry-optimized BaNa2Hf structure.

POSCAR file:
```
BaNa2Hf
1.0
-6.452 -6.642 -0.219
4.667 -4.747 6.441
-2.603 -4.112 5.516
Ba Na Hf
2 4 2
Direct
0.500 0.500 0.000 Ba
0.250 0.750 0.500 Ba
0.875 0.895 0.750 Na
0.105 0.625 0.250 Na
0.375 0.355 0.750 Na
0.645 0.125 0.250 Na
0.750 0.250 0.500 Hf
0.000 0.000 0.000 Hf
```

Fermi-level density of states = 5.3 states/eV/f.u.
density = 4.18 g cm⁻³
SG = I-42d, No. 122

***

#ii
Density functional theory data (PBE) for a geometry-optimized BaNa2Hf structure.

POSCAR file:
```
BaNa2Hf
1.0
0.026 -2.569 5.236
1.110 3.144 4.785
-4.270 1.111 3.815
Hf Ba Na
1 1 2
Direct
0.500 0.500 0.500 Hf
0.000 0.000 0.000 Ba
0.750 0.750 0.750 Na
0.250 0.250 0.250 Na
```

Fermi-level density of states = 6.4 states/eV/f.u.
density = 4.28 g cm⁻³
SG = Fm-3m, No. 225

***

It is #i that is the least stable of them.

***

#i
Density functional theory data (PBE) for a geometry-optimized Ba2NaHf2 structure.

POSCAR file:
```
Ba2NaHf2
1.0
10.230 0.000 0.000
0.000 10.230 0.000
0.000 0.000 3.538
Na Ba Hf
2 4 4
Direct
0.000 0.000 0.000 Na
0.500 0.500 0.000 Na
0.304 0.196 0.500 Ba
0.804 0.304 0.500 Ba
0.196 0.696 0.500 Ba
0.696 0.804 0.500 Ba
0.904 0.596 0.000 Hf
0.404 0.904 0.000 Hf
0.596 0.096 0.000 Hf
0.096 0.404 0.000 Hf
```

Fermi-level density of states = 7.9 states/eV/f.u.
density = 5.87 g cm⁻³
SG = P4/mbm, No. 127

***

#ii
Density functional theory data (PBE) for a geometry-optimized Ba2NaHf2 structure.

POSCAR file:
```
Ba2NaHf2
1.0
-1.327 0.415 -4.810
-1.055 -4.893 -0.131
-8.650 -0.689 -0.279
Hf Ba Na
2 2 1
Direct
0.580 0.580 0.841 Hf
0.420 0.420 0.159 Hf
0.750 0.250 0.500 Ba
0.250 0.750 0.500 Ba
0.000 0.000 0.000 Na
```

Fermi-level density of states = 9.2 states/eV/f.u.
density = 5.47 g cm⁻³
SG = I4/mmm, No. 139

***

It is #ii that is the least stable of them.

***

#i
Density functional theory data (PBE) for a geometry-optimized BaHf2Ni structure.

POSCAR file:
```
BaHf2Ni
1.0
0.000 3.486 3.486
3.486 0.000 3.486
3.486 3.486 0.000
Ni Hf Ba
1 2 1
Direct
0.000 0.000 0.000 Ni
0.250 0.250 0.250 Hf
0.750 0.750 0.750 Hf
0.500 0.500 0.500 Ba
```

Fermi-level density of states = 4.6 states/eV/f.u.
density = 10.84 g cm⁻³
SG = Fm-3m, No. 225

***

#ii
Density functional theory data (PBE) for a geometry-optimized BaHf2Ni structure.

POSCAR file:
```
BaHf2Ni
1.0
-3.437 3.135 -3.370
-4.588 -2.666 2.200
-4.529 5.920 5.231
Ni Ba Hf
2 2 4
Direct
0.250 0.750 0.500 Ni
0.500 0.500 0.000 Ni
0.750 0.250 0.500 Ba
0.000 0.000 0.000 Ba
0.375 0.125 0.250 Hf
0.375 0.625 0.750 Hf
0.375 0.625 0.250 Hf
0.875 0.625 0.750 Hf
```

Fermi-level density of states = 4.8 states/eV/f.u.
density = 6.83 g cm⁻³
SG = I4_1/amd, No. 141

***

It is #ii that is the least stable of them.

***

#i
Density functional theory data (PBE) for a geometry-optimized BaHf3Ni structure.

POSCAR file:
```
BaHf3Ni
1.0
5.213 0.000 0.000
0.000 5.213 0.000
0.000 0.000 5.213
Ni Hf Ba
1 3 1
Direct
0.500 0.500 0.500 Ni
0.000 0.500 0.000 Hf
0.000 0.000 0.500 Hf
0.500 0.000 0.000 Hf
0.000 0.000 0.000 Ba
```

Fermi-level density of states = 10.1 states/eV/f.u.
density = 8.57 g cm⁻³
SG = Pm-3m, No. 221

***

#ii
Density functional theory data (PBE) for a geometry-optimized BaHf3Ni structure.

POSCAR file:
```
BaHf3Ni
1.0
-2.321 1.726 4.107
-4.113 0.949 -2.723
-1.712 -4.621 0.975
Hf Ni Ba
3 1 1
Direct
0.000 0.500 0.000 Hf
0.500 0.000 0.000 Hf
0.000 0.000 0.500 Hf
0.000 0.000 0.000 Ni
0.500 0.500 0.500 Ba
```

Fermi-level density of states = 3.8 states/eV/f.u.
density = 9.58 g cm⁻³
SG = Pm-3m, No. 221

***

It is #i that is the least stable of them.

***

#i
Density functional theory data (PBE) for a geometry-optimized BaSrPrHfO6 structure.

POSCAR file:
```
BaSrPrHfO6
1.0
-5.043 0.459 -3.416
0.638 -5.900 -1.789
-4.857 -2.606 6.699
Hf O Sr Pr Ba
2 12 2 2 2
Direct
0.500 0.000 0.500 Hf
0.000 0.500 0.000 Hf
0.577 0.951 0.733 O
0.229 0.801 0.537 O
0.100 0.514 0.232 O
0.900 0.486 0.768 O
0.690 0.726 0.444 O
0.310 0.274 0.556 O
0.799 0.235 0.047 O
0.771 0.199 0.463 O
0.269 0.301 0.946 O
0.201 0.765 0.953 O
0.423 0.049 0.267 O
0.731 0.699 0.054 O
0.515 0.460 0.250 Sr
0.485 0.540 0.750 Sr
0.500 0.000 0.000 Pr
0.000 0.500 0.500 Pr
0.008 0.033 0.749 Ba
0.992 0.967 0.251 Ba
```

Fermi-level density of states = 9.4 states/eV/f.u.
density = 6.48 g cm⁻³
SG = P-1, No. 2

***

#ii
Density functional theory data (PBE) for a geometry-optimized BaSrPrHfO6 structure.

POSCAR file:
```
BaSrPrHfO6
1.0
0.000 4.395 4.395
4.395 0.000 4.395
4.395 4.395 0.000
O Sr Pr Ba Hf
6 1 1 1 1
Direct
0.236 0.764 0.764 O
0.236 0.764 0.236 O
0.764 0.236 0.764 O
0.764 0.236 0.236 O
0.236 0.236 0.764 O
0.764 0.764 0.236 O
0.250 0.250 0.250 Sr
0.500 0.500 0.500 Pr
0.750 0.750 0.750 Ba
0.000 0.000 0.000 Hf
```

Fermi-level density of states = 9.2 states/eV/f.u.
density = 6.26 g cm⁻³
SG = F-43m, No. 216

***

It is #ii that is the least stable of them.